1.
Material: HgPtW
Method: DFT, meta-GGA SCAN
State: single point on PBEsol structure

Calculated values
Symmetry = I4mm (107)
Energy relative to the elements = 0.2101 eV per atom

Cell and atoms, written as POSCAR:
```
HgPtW
1.0
-1.432 1.432 6.117
1.432 -1.432 6.117
1.432 1.432 -6.117
Hg Pt W
1 1 1
Direct
0.000 0.000 0.000
0.682 0.682 0.000
0.323 0.323 0.000
```

***

2.
Material: YHgPt2
Method: DFT, meta-GGA SCAN
State: single point on PBEsol structure

Calculated values
Symmetry = I4/mmm (139)
Energy relative to the elements = -0.8432 eV per atom

Cell and atoms, written as POSCAR:
```
YHgPt2
1.0
-2.121 2.121 4.064
2.121 -2.121 4.064
2.121 2.121 -4.064
Y Hg Pt
1 1 2
Direct
0.000 0.000 0.000
0.500 0.500 0.000
0.250 0.750 0.500
0.750 0.250 0.500
```

***

3.
Material: YHgPt
Method: DFT, meta-GGA SCAN
State: single point on PBEsol structure

Calculated values
Symmetry = I4mm (107)
Energy relative to the elements = -0.9523 eV per atom

Cell and atoms, written as POSCAR:
```
YHgPt
1.0
-1.835 1.835 4.534
1.835 -1.835 4.534
1.835 1.835 -4.534
Y Hg Pt
1 1 1
Direct
0.000 0.000 0.000
0.321 0.321 0.000
0.652 0.652 0.000
```

***

4.
Material: YHgPt
Method: DFT, meta-GGA SCAN
State: single point on PBEsol structure

Calculated values
Symmetry = F-43m (216)
Energy relative to the elements = -0.5214 eV per atom

Cell and atoms, written as POSCAR:
```
YHgPt
1.0
0.000 3.277 3.277
3.277 0.000 3.277
3.277 3.277 0.000
Y Hg Pt
1 1 1
Direct
0.000 0.000 0.000
0.250 0.250 0.250
0.500 0.500 0.500
```

***

5.
Material: YHg2Pt2
Method: DFT, meta-GGA SCAN
State: single point on PBEsol structure

Calculated values
Symmetry = I4/mmm (139)
Energy relative to the elements = -0.5857 eV per atom

Cell and atoms, written as POSCAR:
```
YHg2Pt2
1.0
-1.977 1.977 6.628
1.977 -1.977 6.628
1.977 1.977 -6.628
Y Hg Pt
1 2 2
Direct
0.000 0.000 0.000
0.250 0.750 0.500
0.750 0.250 0.500
0.404 0.404 0.000
0.596 0.596 0.000
```

***

6.
Material: YHgPt2
Method: DFT, meta-GGA SCAN
State: single point on PBEsol structure

Calculated values
Symmetry = I-4m2 (119)
Energy relative to the elements = -0.8165 eV per atom

Cell and atoms, written as POSCAR:
```
YHgPt2
1.0
-2.024 2.024 4.460
2.024 -2.024 4.460
2.024 2.024 -4.460
Y Hg Pt
1 1 2
Direct
0.000 0.000 0.000
0.750 0.250 0.500
0.250 0.750 0.500
0.500 0.500 0.000
```

***

What did the sixth record say?
Material: YHgPt2
Method: DFT, meta-GGA SCAN
State: single point on PBEsol structure

Calculated values
Symmetry = I-4m2 (119)
Energy relative to the elements = -0.8165 eV per atom

Cell and atoms, written as POSCAR:
```
YHgPt2
1.0
-2.024 2.024 4.460
2.024 -2.024 4.460
2.024 2.024 -4.460
Y Hg Pt
1 1 2
Direct
0.000 0.000 0.000
0.750 0.250 0.500
0.250 0.750 0.500
0.500 0.500 0.000
```